## ErAl2SiPd4 (GGA-PBE)

Data for a geometry-optimized ErAl2SiPd4 structure.

Cell: 4.3095 4.3095 24.8439 Å, 90.00 90.00 120.00°
Space group R-3m (No. 166, hexagonal axes)
Symmetry-distinct sites (fractional):
Er  0.0000  0.0000  0.0000 x3
Al  0.0000  0.0000  0.2464 x6
Si  0.0000  0.0000  0.5000 x3
Pd  0.0000  0.0000  0.1354 x6
Pd  0.0000  0.0000  0.4025 x6

Computed properties:
Final energy in eV per atom: -5.550
Calculated volume in Å³ per atom: 16.65